Run a
# RbErTmTe3 PBE-GGA relaxed
# - Crystal system: orthorhombic
data_RbErTmTe3
_symmetry_space_group_name_H-M 'C m c m'
_symmetry_Int_Tables_number 63
_symmetry_space_group_name_Hall '-C 2c 2'
_cell_length_a 4.6197
_cell_length_b 16.9277
_cell_length_c 11.7955
_cell_angle_alpha 90.00
_cell_angle_beta 90.00
_cell_angle_gamma 90.00
loop_
_atom_site_label
_atom_site_fract_x
_atom_site_fract_y
_atom_site_fract_z
_atom_site_occupancy
Rb1 0.0000 0.2450 0.2500 1
Er1 0.0000 0.5000 0.0000 1
Tm1 0.0000 0.0358 0.7500 1
Te1 0.0000 0.1251 0.5426 1
Te2 0.0000 0.4314 0.7500 1

---

Run b
# RbErTmTe3 PBE-GGA relaxed
# - Crystal system: orthorhombic
data_RbErTmTe3
_symmetry_space_group_name_H-M 'C m c m'
_symmetry_Int_Tables_number 63
_symmetry_space_group_name_Hall '-C 2c 2'
_cell_length_a 4.6287
_cell_length_b 16.9343
_cell_length_c 11.7696
_cell_angle_alpha 90.00
_cell_angle_beta 90.00
_cell_angle_gamma 90.00
loop_
_atom_site_label
_atom_site_fract_x
_atom_site_fract_y
_atom_site_fract_z
_atom_site_occupancy
Rb1 0.0000 0.2453 0.2500 1
Er1 0.0000 0.0352 0.7500 1
Tm1 0.0000 0.5000 0.0000 1
Te1 0.0000 0.1243 0.5407 1
Te2 0.0000 0.4308 0.7500 1

---

Consider the structures shown above. The least stable of them is run b.